# CoNiTe2N (PBE, optimized geometry)
# Energy above the lowest structure with this stoichiometry, meV per atom: 265
# Uncorrected formation energy, kJ/mol of formula units: 339.3
# Magnetization, μB per formula unit: 1.376
# Raw total energy, eV/atom: -4.80
# Mass density, g cm⁻³: 6.97
data_CoNiTe2N
_chemical_formula_sum 'Co1 Ni1 Te2 N1'
_cell_length_a 5.234
_cell_length_b 5.234
_cell_length_c 3.365
_cell_angle_alpha 90.00
_cell_angle_beta 90.00
_cell_angle_gamma 90.00
_symmetry_space_group_name_H-M 'P 1'
_symmetry_Int_Tables_number 1
_symmetry_space_group_name_Hall 'P 1'
loop_
_atom_site_label
_atom_site_fract_x
_atom_site_fract_y
_atom_site_fract_z
Te1 0.500 0.000 0.000
Te2 0.000 0.500 0.000
Co1 0.500 0.500 0.500
N1 0.000 0.000 0.500
Ni1 0.000 0.000 0.000